(1)
Entry from the Alexandria database: an optimized crystal structure of CeBeCo6B (PBE-GGA).

Geometry as POSCAR:
```
CeBeCo6B
1.0
-1.9028 0.4610 -4.8406
-6.0099 -5.1085 1.8760
1.0641 6.2823 2.9962
Be Co Ce B
2 12 2 2
Direct
0.0000 0.0000 0.5000 Be
0.5000 0.0000 0.5000 Be
0.6271 0.3521 0.7374 Co
0.1103 0.3521 0.7374 Co
0.4956 0.2456 0.9912 Co
0.8897 0.1147 0.2626 Co
0.3729 0.6479 0.2626 Co
0.3729 0.1147 0.2626 Co
0.9258 0.1758 0.8516 Co
0.1103 0.8853 0.7374 Co
0.8897 0.6479 0.2626 Co
0.5044 0.7544 0.0088 Co
0.6271 0.8853 0.7374 Co
0.0742 0.8242 0.1484 Co
0.1762 0.4262 0.3524 Ce
0.8238 0.5738 0.6476 Ce
0.5000 0.5000 0.0000 B
0.5000 0.0000 0.0000 B
```

D(E_F) (states/eV/cell): 20.42
E_form (eV/atom): 0.110
Magnetic moment (μB per cell): 9.61

---

(2)
Entry from the Alexandria database: an optimized crystal structure of MgTlHg3 (PBE-GGA).

Geometry as POSCAR:
```
MgTlHg3
1.0
-3.3980 -3.2373 -2.7615
-0.7682 -3.0091 4.4730
-4.1852 3.1808 1.4210
Tl Hg Mg
1 3 1
Direct
0.5000 0.5000 0.5000 Tl
0.0000 0.5000 0.0000 Hg
0.5000 0.0000 0.0000 Hg
0.0000 0.0000 0.5000 Hg
0.0000 0.0000 0.0000 Mg
```

D(E_F) (states/eV/cell): 3.05
E_form (eV/atom): 0.096
Magnetic moment (μB per cell): 0.00

---

(3)
Entry from the Alexandria database: an optimized crystal structure of CaIn3Ir (PBE-GGA).

Geometry as POSCAR:
```
CaIn3Ir
1.0
-1.0690 4.9873 -0.8808
-0.3207 -0.9651 -5.0752
-5.0543 -0.9936 0.5083
In Ir Ca
3 1 1
Direct
0.0000 0.5000 0.0000 In
0.0000 0.0000 0.5000 In
0.5000 0.0000 0.0000 In
0.0000 0.0000 0.0000 Ir
0.5000 0.5000 0.5000 Ca
```

D(E_F) (states/eV/cell): 3.06
E_form (eV/atom): -0.144
Magnetic moment (μB per cell): 0.00

---

(4)
Entry from the Alexandria database: an optimized crystal structure of CeNdEr2Sb4 (PBE-GGA).

Geometry as POSCAR:
```
CeNdEr2Sb4
1.0
-2.4094 -0.9195 -3.6068
6.2424 0.7986 -4.3737
3.5554 -6.7822 -0.6461
Er Ce Sb Nd
2 1 4 1
Direct
0.5000 0.0000 0.5000 Er
0.0000 0.0000 0.0000 Er
0.0000 0.5000 0.5000 Ce
0.0000 0.2401 0.2552 Sb
0.0000 0.7599 0.7448 Sb
0.5000 0.2406 0.7518 Sb
0.5000 0.7594 0.2482 Sb
0.5000 0.5000 0.0000 Nd
```

D(E_F) (states/eV/cell): 7.58
ΔE_f (raw) (meV per atom): -1104
Magnetic moment (μB per cell): 0.74

---

(5)
Entry from the Alexandria database: an optimized crystal structure of CaMgS2 (PBE-GGA).

Geometry as POSCAR:
```
CaMgS2
1.0
-1.3470 5.0049 3.3395
-6.0158 -1.0607 -0.8368
-3.7773 -1.1785 5.9343
S Ca Mg
4 2 2
Direct
0.5907 0.1250 0.2500 S
0.1593 0.6250 0.2500 S
0.3750 0.4093 0.7500 S
0.8750 0.8407 0.7500 S
0.7500 0.2500 0.5000 Ca
0.0000 0.0000 0.0000 Ca
0.2500 0.7500 0.5000 Mg
0.5000 0.5000 0.0000 Mg
```

D(E_F) (states/eV/cell): 0.00
ΔE_f (raw) (meV per atom): -1613
Magnetic moment (μB per cell): 0.00

---

(6)
Entry from the Alexandria database: an optimized crystal structure of MgSc2Ag (PBE-GGA).

Geometry as POSCAR:
```
MgSc2Ag
1.0
5.3843 -0.0134 0.0000
1.7626 5.0877 0.0000
-3.5734 -2.5371 3.1280
Ag Mg Sc
1 1 2
Direct
0.2500 0.7500 0.5000 Ag
0.7500 0.2500 0.5000 Mg
0.5000 0.5000 0.0000 Sc
0.0000 0.0000 0.0000 Sc
```

D(E_F) (states/eV/cell): 5.19
E_form (eV/atom): -0.092
Magnetic moment (μB per cell): 0.00

---

(7)
Entry from the Alexandria database: an optimized crystal structure of HfCr3N (PBE-GGA).

Geometry as POSCAR:
```
HfCr3N
1.0
-0.9097 -1.3949 3.5751
3.8182 -0.6987 0.6989
0.3862 3.6223 1.5116
N Hf Cr
1 1 3
Direct
0.0000 0.0000 0.0000 N
0.5000 0.5000 0.5000 Hf
0.0000 0.5000 0.0000 Cr
0.0000 0.0000 0.5000 Cr
0.5000 0.0000 0.0000 Cr
```

D(E_F) (states/eV/cell): 6.94
ΔE_f (raw) (meV per atom): -224
Magnetic moment (μB per cell): 2.66

---

(8)
Entry from the Alexandria database: an optimized crystal structure of BeAg2Mo (PBE-GGA).

Geometry as POSCAR:
```
BeAg2Mo
1.0
5.0860 -0.0057 0.0059
4.3860 2.5750 0.0059
1.6516 0.4480 4.6329
Ag Be Mo
2 1 1
Direct
0.2149 0.2149 0.2366 Ag
0.9915 0.9915 0.0204 Ag
0.5117 0.5117 0.5610 Be
0.7818 0.7818 0.6820 Mo
```

D(E_F) (states/eV/cell): 3.41
E_form (eV/atom): 0.465
Magnetic moment (μB per cell): 0.00

---

Number 1: E -6.442 eV/atom. Number 2: E -0.878 eV/atom. Number 3: E -3.959 eV/atom. Number 4: E -5.643 eV/atom. Number 5: E -4.576 eV/atom. Number 6: E -4.369 eV/atom. Number 7: E -9.654 eV/atom. Number 8: E -4.600 eV/atom.